# 1
# GGA-PBE Cr3Re, relaxed
# Symmetry   Pmmn
# Energy of formation   0.2704 eV/atom
# Spin magnetization   0.000 μB per atom
# Density of states at the Fermi level   11.71 states/eV/cell
# V   12.80 Å³ per atom
data_Cr3Re
_symmetry_space_group_name_H-M 'P 1'
_symmetry_Int_Tables_number 1
_cell_length_a 4.352
_cell_length_b 4.838
_cell_length_c 4.865
_cell_angle_alpha 90.00
_cell_angle_beta 90.00
_cell_angle_gamma 90.00
loop_
_symmetry_equiv_pos_as_xyz
'x,y,z'
loop_
_atom_site_label
_atom_site_fract_x
_atom_site_fract_y
_atom_site_fract_z
Cr1 0.000 0.270 0.857
Cr2 0.000 0.730 0.857
Cr3 0.000 0.500 0.335
Cr4 0.500 0.770 0.143
Cr5 0.500 0.230 0.143
Cr6 0.500 0.000 0.665
Re1 0.000 0.000 0.368
Re2 0.500 0.500 0.632


# 2
# GGA-PBE Be3AgPt, relaxed
# Energy relative to the lowest polymorph listed for this composition   0 meV/atom
# Symmetry   Pm-3m
# Energy of formation   0.2367 eV/atom
# Spin magnetization   0.000 μB per atom
# Density of states at the Fermi level   1.75 states/eV/cell
# V   15.57 Å³ per atom
data_Be3AgPt
_symmetry_space_group_name_H-M 'P 1'
_symmetry_Int_Tables_number 1
_cell_length_a 4.270
_cell_length_b 4.270
_cell_length_c 4.270
_cell_angle_alpha 90.00
_cell_angle_beta 90.00
_cell_angle_gamma 90.00
loop_
_symmetry_equiv_pos_as_xyz
'x,y,z'
loop_
_atom_site_label
_atom_site_fract_x
_atom_site_fract_y
_atom_site_fract_z
Be1 0.000 0.500 0.000
Be2 0.000 0.000 0.500
Be3 0.500 0.000 0.000
Pt1 0.000 0.000 0.000
Ag1 0.500 0.500 0.500


# 3
# GGA-PBE Zn2CrCo, relaxed
# Energy relative to the lowest polymorph listed for this composition   126 meV/atom
# Symmetry   Imm2
# Energy of formation   0.1641 eV/atom
# Spin magnetization   0.889 μB per atom
# Density of states at the Fermi level   3.23 states/eV/cell
# V   13.05 Å³ per atom
data_Zn2CrCo
_symmetry_space_group_name_H-M 'P 1'
_symmetry_Int_Tables_number 1
_cell_length_a 4.908
_cell_length_b 4.908
_cell_length_c 4.908
_cell_angle_alpha 145.04
_cell_angle_beta 128.81
_cell_angle_gamma 63.49
loop_
_symmetry_equiv_pos_as_xyz
'x,y,z'
loop_
_atom_site_label
_atom_site_fract_x
_atom_site_fract_y
_atom_site_fract_z
Co1 0.495 0.495 0.000
Cr1 0.265 0.765 0.500
Zn1 0.742 0.242 0.500
Zn2 0.998 0.998 0.000


# 4
# GGA-PBE Ge2Bi2Pt7Rh, relaxed
# Symmetry   I4/mmm
# Energy of formation   -0.2414 eV/atom
# Spin magnetization   0.058 μB per atom
# Density of states at the Fermi level   8.47 states/eV/cell
# V   19.98 Å³ per atom
data_Ge2Bi2Pt7Rh
_symmetry_space_group_name_H-M 'P 1'
_symmetry_Int_Tables_number 1
_cell_length_a 3.948
_cell_length_b 3.948
_cell_length_c 15.637
_cell_angle_alpha 82.73
_cell_angle_beta 82.73
_cell_angle_gamma 90.00
loop_
_symmetry_equiv_pos_as_xyz
'x,y,z'
loop_
_atom_site_label
_atom_site_fract_x
_atom_site_fract_y
_atom_site_fract_z
Pt1 0.934 0.434 0.131
Pt2 0.566 0.066 0.869
Pt3 0.500 0.500 0.000
Pt4 0.304 0.304 0.392
Pt5 0.066 0.566 0.869
Pt6 0.696 0.696 0.608
Pt7 0.434 0.934 0.131
Ge1 0.617 0.617 0.767
Ge2 0.383 0.383 0.233
Bi1 0.789 0.789 0.421
Bi2 0.211 0.211 0.579
Rh1 0.000 0.000 0.000


# 5
# GGA-PBE Sc2ZnCo, relaxed
# Symmetry   R-3m
# Energy of formation   0.1523 eV/atom
# Spin magnetization   0.000 μB per atom
# Density of states at the Fermi level   3.92 states/eV/cell
# V   22.22 Å³ per atom
data_Sc2ZnCo
_symmetry_space_group_name_H-M 'P 1'
_symmetry_Int_Tables_number 1
_cell_length_a 9.125
_cell_length_b 9.125
_cell_length_c 9.125
_cell_angle_alpha 21.43
_cell_angle_beta 21.43
_cell_angle_gamma 21.43
loop_
_symmetry_equiv_pos_as_xyz
'x,y,z'
loop_
_atom_site_label
_atom_site_fract_x
_atom_site_fract_y
_atom_site_fract_z
Sc1 0.110 0.110 0.110
Sc2 0.890 0.890 0.890
Zn1 0.000 0.000 0.000
Co1 0.500 0.500 0.500


# 6
# GGA-PBE LaNd3Tl3, relaxed
# Energy relative to the lowest polymorph listed for this composition   0 meV/atom
# Symmetry   P2_13
# Energy of formation   -0.2979 eV/atom
# Spin magnetization   0.000 μB per atom
# Density of states at the Fermi level   32.77 states/eV/cell
# V   32.34 Å³ per atom
data_LaNd3Tl3
_symmetry_space_group_name_H-M 'P 1'
_symmetry_Int_Tables_number 1
_cell_length_a 9.675
_cell_length_b 9.675
_cell_length_c 9.675
_cell_angle_alpha 90.00
_cell_angle_beta 90.00
_cell_angle_gamma 90.00
loop_
_symmetry_equiv_pos_as_xyz
'x,y,z'
loop_
_atom_site_label
_atom_site_fract_x
_atom_site_fract_y
_atom_site_fract_z
Tl1 0.379 0.501 0.754
Tl2 0.501 0.754 0.379
Tl3 0.254 0.121 0.499
Tl4 0.621 0.001 0.746
Tl5 0.001 0.746 0.621
Tl6 0.121 0.499 0.254
Tl7 0.246 0.879 0.999
Tl8 0.879 0.999 0.246
Tl9 0.499 0.254 0.121
Tl10 0.754 0.379 0.501
Tl11 0.746 0.621 0.001
Tl12 0.999 0.246 0.879
Nd1 0.177 0.823 0.323
Nd2 0.323 0.177 0.823
Nd3 0.677 0.677 0.677
Nd4 0.577 0.077 0.423
Nd5 0.323 0.823 0.677
Nd6 0.823 0.323 0.177
Nd7 0.423 0.577 0.077
Nd8 0.677 0.323 0.823
Nd9 0.923 0.923 0.923
Nd10 0.177 0.177 0.177
Nd11 0.077 0.423 0.577
Nd12 0.823 0.677 0.323
La1 0.426 0.426 0.426
La2 0.574 0.926 0.074
La3 0.926 0.074 0.574
La4 0.074 0.574 0.926